*w*
## SbAsIr (PBE)

Data for a geometry-optimized SbAsIr structure.

Lattice parameters (Å, degrees): 6.377 6.393 6.541 90.00 114.16 90.00
Atoms (fractional coordinates):
Sb  0.165  0.131  0.313
Sb  0.165  0.369  0.813
Sb  0.835  0.631  0.187
Sb  0.835  0.869  0.687
As  0.350  0.633  0.614
As  0.350  0.867  0.114
As  0.650  0.133  0.886
As  0.650  0.367  0.386
Ir  0.242  0.510  0.212
Ir  0.242  0.990  0.712
Ir  0.758  0.010  0.288
Ir  0.758  0.490  0.788

Computed properties:
Space-group type   No. 14
Total magnetic moment   0.00 μB/cell

*x*
## SbAsIr (PBE)

Data for a geometry-optimized SbAsIr structure.

Lattice parameters (Å, degrees): 8.151 3.533 7.988 90.00 90.00 90.00
Atoms (fractional coordinates):
Sb  0.065  0.250  0.166
Sb  0.435  0.750  0.666
Sb  0.565  0.250  0.334
Sb  0.935  0.750  0.834
As  0.150  0.250  0.521
As  0.350  0.750  0.021
As  0.650  0.250  0.979
As  0.850  0.750  0.479
Ir  0.197  0.250  0.847
Ir  0.303  0.750  0.347
Ir  0.697  0.250  0.653
Ir  0.803  0.750  0.153

Computed properties:
Space-group type   No. 62
Total magnetic moment   0.03 μB/cell

*y*
## SbAsIr (PBE)

Data for a geometry-optimized SbAsIr structure.

Lattice parameters (Å, degrees): 5.902 3.432 11.940 90.00 90.00 90.00
Atoms (fractional coordinates):
Sb  0.204  0.250  0.104
Sb  0.296  0.750  0.604
Sb  0.704  0.250  0.396
Sb  0.796  0.750  0.896
As  0.201  0.250  0.368
As  0.299  0.750  0.868
As  0.701  0.250  0.132
As  0.799  0.750  0.632
Ir  0.068  0.250  0.751
Ir  0.432  0.750  0.251
Ir  0.568  0.250  0.749
Ir  0.932  0.750  0.249

Computed properties:
Space-group type   No. 62
Total magnetic moment   0.01 μB/cell

*z*
## SbAsIr (PBE)

Data for a geometry-optimized SbAsIr structure.

Lattice parameters (Å, degrees): 6.420 6.383 6.484 90.00 113.80 90.00
Atoms (fractional coordinates):
Sb  0.154  0.129  0.371
Sb  0.154  0.371  0.871
Sb  0.846  0.629  0.129
Sb  0.846  0.871  0.629
As  0.347  0.637  0.678
As  0.347  0.863  0.178
As  0.653  0.137  0.822
As  0.653  0.363  0.322
Ir  0.285  0.508  0.297
Ir  0.285  0.992  0.797
Ir  0.715  0.008  0.203
Ir  0.715  0.492  0.703

Computed properties:
Space-group type   No. 14
Total magnetic moment   0.00 μB/cell

The energy of each structure relative to the most stable one, in meV per atom, is as follows: *w* 97; *x* 447; *y* 487; *z* 0.

*w*
## SiAsIr (PBE)

Data for a geometry-optimized SiAsIr structure.

Lattice parameters (Å, degrees): 4.162 4.162 4.162 60.00 60.00 60.00
Atoms (fractional coordinates):
Si  0.000  0.000  0.000
As  0.500  0.500  0.500
Ir  0.750  0.750  0.750

Computed properties:
Space-group type   No. 216
Total magnetic moment   0.00 μB/cell

*x*
## SiAsIr (PBE)

Data for a geometry-optimized SiAsIr structure.

Lattice parameters (Å, degrees): 4.157 4.157 4.157 60.00 60.00 60.00
Atoms (fractional coordinates):
Si  0.000  0.000  0.000
As  0.750  0.750  0.750
Ir  0.250  0.250  0.250

Computed properties:
Space-group type   No. 216
Total magnetic moment   0.01 μB/cell

The energy of each structure relative to the most stable one, in meV per atom, is as follows: *w* 0; *x* 470.

*w*
## KMgAsPd (PBE)

Data for a geometry-optimized KMgAsPd structure.

Lattice parameters (Å, degrees): 4.972 4.972 4.972 60.00 60.00 60.00
Atoms (fractional coordinates):
K  0.000  0.000  0.000
Mg  0.500  0.500  0.500
As  0.250  0.250  0.250
Pd  0.750  0.750  0.750

Computed properties:
Space-group type   No. 216

*x*
## KMgAsPd (PBE)

Data for a geometry-optimized KMgAsPd structure.

Lattice parameters (Å, degrees): 4.841 4.841 4.841 60.00 60.00 60.00
Atoms (fractional coordinates):
K  0.000  0.000  0.000
Mg  0.250  0.250  0.250
As  0.750  0.750  0.750
Pd  0.500  0.500  0.500

Computed properties:
Space-group type   No. 216

The energy of each structure relative to the most stable one, in meV per atom, is as follows: *w* 41; *x* 0.

*w*
## KMgAsPt (PBE)

Data for a geometry-optimized KMgAsPt structure.

Lattice parameters (Å, degrees): 4.874 4.874 4.874 60.00 60.00 60.00
Atoms (fractional coordinates):
K  0.000  0.000  0.000
Mg  0.250  0.250  0.250
As  0.500  0.500  0.500
Pt  0.750  0.750  0.750

Computed properties:
Space-group type   No. 216
Total magnetic moment   0.00 μB/cell

*x*
## KMgAsPt (PBE)

Data for a geometry-optimized KMgAsPt structure.

Lattice parameters (Å, degrees): 4.804 4.804 4.804 60.00 60.00 60.00
Atoms (fractional coordinates):
K  0.000  0.000  0.000
Mg  0.250  0.250  0.250
As  0.750  0.750  0.750
Pt  0.500  0.500  0.500

Computed properties:
Space-group type   No. 216
Total magnetic moment   0.00 μB/cell

*y*
## KMgAsPt (PBE)

Data for a geometry-optimized KMgAsPt structure.

Lattice parameters (Å, degrees): 4.936 4.936 4.936 60.00 60.00 60.00
Atoms (fractional coordinates):
K  0.000  0.000  0.000
Mg  0.500  0.500  0.500
As  0.250  0.250  0.250
Pt  0.750  0.750  0.750

Computed properties:
Space-group type   No. 216
Total magnetic moment   0.00 μB/cell

The energy of each structure relative to the most stable one, in meV per atom, is as follows: *w* 181; *x* 0; *y* 149.